No. 1
## IrS2BrCl (GGA-PBE)

Data for an optimized crystal structure of IrS2BrCl.

extended XYZ file:
```
5
Lattice="4.850 0.000 0.000 0.000 4.850 0.000 0.000 0.000 4.956" Properties=species:S:1:pos:R:3 pbc="T T T"
S 0.000 2.425 0.000
S 2.425 0.000 0.000
Cl 0.000 0.000 2.478
Br 0.000 0.000 0.000
Ir 2.425 2.425 2.478
```

Its raw formation energy is 1768 meV per atom. For the density of states at the Fermi level, the calculation gives 6.261 states/eV per cell.

---

No. 2
## IrS2BrCl (GGA-PBE)

Data for an optimized crystal structure of IrS2BrCl.

extended XYZ file:
```
5
Lattice="4.640 0.000 0.000 0.000 4.640 0.000 0.000 0.000 4.906" Properties=species:S:1:pos:R:3 pbc="T T T"
Ir 0.000 0.000 0.000
S 0.000 2.320 0.000
Cl 0.000 0.000 2.453
Br 2.320 2.320 2.453
S 2.320 0.000 0.000
```

Its raw formation energy is 419 meV per atom. For the density of states at the Fermi level, the calculation gives 5.558 states/eV per cell.

---

No. 3
## SbIrBrCl2 (GGA-PBE)

Data for an optimized crystal structure of SbIrBrCl2.

extended XYZ file:
```
5
Lattice="5.097 0.000 0.000 0.000 5.304 0.000 0.000 0.000 5.097" Properties=species:S:1:pos:R:3 pbc="T T T"
Cl 2.548 0.000 0.000
Cl 0.000 0.000 2.548
Ir 0.000 2.652 0.000
Br 2.548 2.652 2.548
Sb 0.000 0.000 0.000
```

Its raw formation energy is 470 meV per atom. For the density of states at the Fermi level, the calculation gives 1.724 states/eV per cell.

---

No. 4
## IrSe2BrCl (GGA-PBE)

Data for an optimized crystal structure of IrSe2BrCl.

extended XYZ file:
```
5
Lattice="-4.876 0.193 1.008 -1.026 -1.006 -4.771 0.019 -4.877 1.024" Properties=species:S:1:pos:R:3 pbc="T T T"
Br 0.009 -2.438 0.512
Se -2.438 0.097 0.504
Cl 0.000 0.000 0.000
Ir -2.942 -2.845 -1.370
Se -0.513 -0.503 -2.386
```

Its raw formation energy is 1665 meV per atom. For the density of states at the Fermi level, the calculation gives 7.487 states/eV per cell.

---

No. 5
## IrSe2BrCl (GGA-PBE)

Data for an optimized crystal structure of IrSe2BrCl.

extended XYZ file:
```
5
Lattice="4.859 0.000 0.000 0.000 4.859 0.000 0.000 0.000 5.222" Properties=species:S:1:pos:R:3 pbc="T T T"
Cl 2.429 2.429 2.611
Se 2.429 0.000 0.000
Ir 0.000 0.000 0.000
Br 0.000 0.000 2.611
Se 0.000 2.429 0.000
```

Its raw formation energy is 436 meV per atom. For the density of states at the Fermi level, the calculation gives 6.240 states/eV per cell.

---

No. 6
## Sm8Ir3Br4Cl (GGA-PBE)

Data for an optimized crystal structure of Sm8Ir3Br4Cl.

extended XYZ file:
```
16
Lattice="-1.054 7.092 -4.315 -6.144 -4.084 -5.211 -1.251 -0.091 8.271" Properties=species:S:1:pos:R:3 pbc="T T T"
Br -0.527 3.546 -2.158
Sm -2.216 0.837 -2.446
Br -1.153 3.501 1.978
Br 0.000 0.000 0.000
Br -0.626 -0.045 4.135
Sm -3.282 4.074 -0.616
Sm -2.703 4.115 -4.441
Ir -3.599 1.504 -4.763
Sm -5.747 -1.198 3.185
Ir -3.698 -2.087 1.530
Cl -3.072 -2.042 -2.605
Sm -2.852 0.602 1.686
Sm -5.598 2.316 -2.941
Ir -4.225 1.459 -0.628
Sm -6.234 2.080 1.191
Sm -5.167 -1.157 -0.639
```

Its raw formation energy is -1125 meV per atom. For the density of states at the Fermi level, the calculation gives 7.734 states/eV per cell.

---

No. 7
## K3BrCl2 (GGA-PBE)

Data for an optimized crystal structure of K3BrCl2.

extended XYZ file:
```
24
Lattice="6.492 -0.010 0.000 0.015 9.163 0.000 0.000 0.000 13.742" Properties=species:S:1:pos:R:3 pbc="T T T"
K 1.636 5.827 8.061
K 4.872 3.519 1.216
Br 1.632 8.002 1.095
K 4.888 7.999 10.342
K 4.879 7.908 1.190
Cl 1.633 8.045 5.705
Cl 4.874 1.108 8.037
Cl 1.642 8.017 10.353
K 1.619 1.154 3.400
Cl 1.626 3.464 1.166
K 4.871 3.326 5.681
Br 1.625 3.421 5.776
Br 4.875 1.151 12.647
Cl 4.873 5.718 3.482
Br 4.882 5.733 7.966
Cl 4.865 1.137 3.389
K 1.628 1.053 8.087
K 1.627 5.736 3.471
K 1.635 5.634 12.526
Cl 4.881 5.689 12.576
K 4.881 3.418 10.271
K 4.880 8.100 5.655
K 1.629 1.245 12.552
Cl 1.635 3.435 10.260
```

Its raw formation energy is -1884 meV per atom. For the density of states at the Fermi level, the calculation gives 0.000 states/eV per cell.

---

No. 8
## KBrCl2 (GGA-PBE)

Data for an optimized crystal structure of KBrCl2.

extended XYZ file:
```
4
Lattice="-3.604 2.861 -2.094 2.002 -0.840 -4.593 -3.435 -4.782 -0.622" Properties=species:S:1:pos:R:3 pbc="T T T"
Cl -3.409 -4.745 -0.618
Br -3.189 -2.315 -3.776
Cl -1.906 -0.528 -3.544
K -1.685 -2.346 -0.305
```

Its raw formation energy is -729 meV per atom. For the density of states at the Fermi level, the calculation gives 2.536 states/eV per cell.

---

No. 9
## K12Br5Cl3 (GGA-PBE)

Data for an optimized crystal structure of K12Br5Cl3.

extended XYZ file:
```
80
Lattice="17.115 0.000 0.000 -5.705 16.136 0.000 -5.705 -8.068 13.974" Properties=species:S:1:pos:R:3 pbc="T T T"
K -3.471 9.044 10.816
Br -5.705 4.034 6.987
Br 5.705 -4.034 6.987
K 2.325 -2.182 12.906
Br 1.426 5.043 12.228
Br 2.853 4.034 6.987
K 8.578 14.479 0.734
Br 4.279 12.102 3.494
Br 4.279 3.026 1.747
K -6.232 0.166 11.550
K 3.380 6.052 1.356
Cl 1.426 -1.009 5.240
Br 7.131 -5.043 12.228
K -0.618 0.975 3.158
K -1.727 5.462 12.172
Cl 9.984 11.094 1.747
Br 5.705 8.068 0.000
Br 1.426 -4.034 10.481
Br 7.131 4.034 10.481
Br -1.426 4.034 3.494
Br 9.984 -1.009 8.734
K -1.126 9.238 5.631
Cl -1.426 7.060 8.734
K 5.087 -1.787 4.563
K 6.232 -2.016 12.619
K 6.232 2.182 12.906
K 7.939 8.879 7.722
K -2.873 3.841 8.790
Br 7.131 7.060 5.240
K 2.325 2.016 12.619
K 6.831 -1.170 8.343
K 0.618 9.855 9.411
Br -2.853 8.068 0.000
K 2.833 10.637 5.919
K 11.430 -3.841 8.790
Cl 12.836 0.000 3.494
K 8.578 4.227 5.185
K -2.325 -0.166 11.550
K 7.432 12.360 3.829
Cl 4.279 9.077 8.734
K -6.831 4.292 10.146
K -2.873 -6.411 13.240
Cl -4.279 3.026 12.228
Cl 4.279 0.000 10.481
K -5.725 11.910 5.185
Br -1.426 13.111 1.747
K -5.685 6.411 13.240
K 3.978 6.898 5.631
K 0.020 5.499 5.919
K 3.380 10.250 1.068
K 12.536 3.776 3.829
Cl 1.426 8.068 3.494
K -2.234 -0.811 6.253
K 11.390 1.657 0.734
K 3.471 1.787 4.563
Br -2.853 -4.034 6.987
K -1.727 -4.292 10.146
Cl 9.984 5.043 1.747
K -0.527 5.886 1.068
K 6.324 7.093 10.816
Br -4.279 9.077 5.240
Cl 7.131 1.009 5.240
K 11.937 7.902 2.424
K 1.727 1.170 8.343
K -5.087 7.257 7.722
K 10.792 0.811 6.253
K -4.579 13.530 1.803
K 8.030 8.234 2.424
Cl -4.279 -3.026 12.228
Br -1.426 1.009 8.734
K 2.234 6.282 9.411
K 5.685 2.569 8.055
K 2.873 -2.569 8.055
K -0.527 10.084 1.356
K 10.284 -5.462 12.172
Br 8.558 0.000 0.000
Cl -7.131 8.068 10.481
K 7.432 2.606 1.803
Br 0.000 0.000 0.000
K 9.176 -0.975 3.158
```

Its raw formation energy is -1245 meV per atom. For the density of states at the Fermi level, the calculation gives 24.199 states/eV per cell.

---

No. 10
## K3BrCl2 (GGA-PBE)

Data for an optimized crystal structure of K3BrCl2.

extended XYZ file:
```
6
Lattice="4.530 0.000 0.000 0.000 6.505 0.000 -2.265 -3.252 6.943" Properties=species:S:1:pos:R:3 pbc="T T T"
Cl 3.397 4.878 1.173
K 1.132 -1.626 3.471
Br 1.132 1.626 3.471
K -1.132 1.626 5.908
Cl -1.132 -1.626 5.770
K 3.397 1.626 1.035
```

Its raw formation energy is -1885 meV per atom. For the density of states at the Fermi level, the calculation gives 0.000 states/eV per cell.

---

No. 11
## K2BrCl (GGA-PBE)

Data for an optimized crystal structure of K2BrCl.

extended XYZ file:
```
4
Lattice="-0.788 -4.306 6.881 5.034 -1.936 6.117 -2.989 5.746 -4.956" Properties=species:S:1:pos:R:3 pbc="T T T"
K 2.084 0.344 3.830
Cl -0.827 -0.840 4.212
K 0.000 0.000 0.000
Br 2.123 -3.121 6.499
```

Its raw formation energy is -1708 meV per atom. For the density of states at the Fermi level, the calculation gives 0.000 states/eV per cell.

---

No. 12
## K5Br4Cl (GGA-PBE)

Data for an optimized crystal structure of K5Br4Cl.

extended XYZ file:
```
10
Lattice="-4.452 2.626 -6.262 3.644 -7.113 1.435 -5.737 -0.231 5.742" Properties=species:S:1:pos:R:3 pbc="T T T"
K -0.031 -4.621 -0.267
Br -3.284 -4.713 0.364
Cl -0.404 -2.244 -2.414
Br -4.076 0.188 -4.059
Br -2.469 -4.906 4.974
K 0.000 0.000 0.000
K -6.514 -0.097 1.181
K -2.962 -2.464 2.787
Br -3.261 -0.005 0.550
K -3.583 -2.254 -1.872
```

Its raw formation energy is -1788 meV per atom. For the density of states at the Fermi level, the calculation gives 0.000 states/eV per cell.

---

No. 13
## KBrCl (GGA-PBE)

Data for an optimized crystal structure of KBrCl.

extended XYZ file:
```
3
Lattice="-1.913 -5.003 0.907 0.043 -2.054 5.029 -4.667 -0.676 2.698" Properties=species:S:1:pos:R:3 pbc="T T T"
Br -4.902 -5.801 6.476
K -3.268 -3.867 4.317
Cl 0.000 0.000 0.000
```

Its raw formation energy is -872 meV per atom. For the density of states at the Fermi level, the calculation gives 4.154 states/eV per cell.

---

No. 14
## K2BrCl (GGA-PBE)

Data for an optimized crystal structure of K2BrCl.

extended XYZ file:
```
8
Lattice="6.033 0.000 -2.548 -1.076 5.937 -2.548 -0.176 -0.211 8.001" Properties=species:S:1:pos:R:3 pbc="T T T"
Br 0.613 4.347 1.452
Cl 4.168 1.379 1.452
Cl 0.000 0.000 0.000
Br 2.479 2.968 -2.548
K 3.665 4.388 0.260
K 3.051 0.041 -1.192
K 1.117 1.338 2.645
K 5.285 2.716 4.097
```

Its raw formation energy is -1848 meV per atom. For the density of states at the Fermi level, the calculation gives 0.000 states/eV per cell.

---

No. 15
## KBrCl2 (GGA-PBE)

Data for an optimized crystal structure of KBrCl2.

extended XYZ file:
```
4
Lattice="4.957 0.000 0.000 0.000 4.998 0.000 0.000 0.000 6.192" Properties=species:S:1:pos:R:3 pbc="T T T"
Cl 0.000 0.000 2.583
Cl 0.000 0.000 0.513
Br 2.479 2.499 4.644
K 2.479 2.499 1.548
```

Its raw formation energy is -663 meV per atom. For the density of states at the Fermi level, the calculation gives 0.830 states/eV per cell.

---

No. 16
## K8Br4Cl3 (GGA-PBE)

Data for an optimized crystal structure of K8Br4Cl3.

extended XYZ file:
```
15
Lattice="-3.751 1.652 -8.358 -0.042 -8.622 3.499 -4.196 3.143 7.688" Properties=species:S:1:pos:R:3 pbc="T T T"
K -3.154 0.193 6.638
K -2.972 -4.809 0.383
Br -2.098 1.571 3.844
K -1.084 -5.673 4.549
Br -1.875 0.826 -4.179
K -5.025 -3.260 4.174
Br -0.021 -4.311 1.749
K -5.016 0.982 2.445
K -1.114 -1.385 2.785
Br 0.000 0.000 0.000
Cl -3.973 2.397 -0.335
Cl -3.994 -1.914 1.414
K -2.964 -0.567 -1.345
K -6.875 -2.443 0.044
Cl -1.897 -3.485 -2.430
```

Its raw formation energy is -1680 meV per atom. For the density of states at the Fermi level, the calculation gives 2.242 states/eV per cell.

---

No. 17
## KBr4Cl (GGA-PBE)

Data for an optimized crystal structure of KBr4Cl.

extended XYZ file:
```
6
Lattice="1.960 0.482 5.941 -4.132 -0.379 4.707 -0.045 -5.040 3.737" Properties=species:S:1:pos:R:3 pbc="T T T"
Br 0.145 -1.614 8.361
Br -0.832 -1.854 5.400
Br -0.855 -4.366 7.263
Cl -1.663 -3.703 10.789
Br -2.891 -2.043 7.746
K 0.000 0.000 0.000
```

Its raw formation energy is -153 meV per atom. For the density of states at the Fermi level, the calculation gives 9.697 states/eV per cell.

---

No. 18
## KBr8Cl2 (GGA-PBE)

Data for an optimized crystal structure of KBr8Cl2.

extended XYZ file:
```
11
Lattice="-3.806 -1.964 8.661 -3.608 -8.641 4.925 2.785 -5.844 8.368" Properties=species:S:1:pos:R:3 pbc="T T T"
Br 0.954 -7.873 10.369
Cl -3.271 -11.122 15.107
K 0.000 0.000 0.000
Br -5.583 -8.576 11.584
Br -3.759 -7.338 12.939
Cl -1.357 -5.327 6.847
Br -1.405 -6.748 13.835
Br -2.170 -11.273 13.185
Br -2.459 -5.176 8.769
Br -3.224 -9.701 8.119
Br -0.869 -9.111 9.015
```

Its raw formation energy is -273 meV per atom. For the density of states at the Fermi level, the calculation gives 5.290 states/eV per cell.

---

No. 19
## KBrCl3 (GGA-PBE)

Data for an optimized crystal structure of KBrCl3.

extended XYZ file:
```
10
Lattice="4.782 0.385 -0.136 0.715 9.624 0.254 0.064 2.686 7.350" Properties=species:S:1:pos:R:3 pbc="T T T"
K 4.775 3.984 4.681
Br 4.465 9.112 4.614
Cl 2.308 5.438 5.900
Cl 2.323 4.149 2.175
Cl 3.314 11.103 5.319
Br 3.332 2.266 1.162
Cl 0.771 8.241 7.362
Cl 0.692 6.843 3.738
Cl 5.198 9.898 0.712
K 3.021 7.392 1.096
```

Its raw formation energy is -692 meV per atom.

---

No. 20
## KBr2Cl (GGA-PBE)

Data for an optimized crystal structure of KBr2Cl.

extended XYZ file:
```
4
Lattice="-7.178 -4.692 2.022 -2.452 -8.234 1.952 5.257 7.015 0.880" Properties=species:S:1:pos:R:3 pbc="T T T"
Br -4.815 -6.463 1.987
Br 0.000 0.000 0.000
Cl -3.368 -2.070 2.445
K -1.005 -3.841 2.410
```

Its raw formation energy is -781 meV per atom. For the density of states at the Fermi level, the calculation gives 5.470 states/eV per cell.

---

No. 21
## K2BrCl (GGA-PBE)

Data for an optimized crystal structure of K2BrCl.

extended XYZ file:
```
4
Lattice="6.816 -0.050 -0.001 5.522 3.994 -0.001 0.002 0.000 4.924" Properties=species:S:1:pos:R:3 pbc="T T T"
Br 6.097 1.948 3.074
K 9.302 2.973 3.077
K 0.074 0.023 0.614
Cl 3.038 0.971 0.616
```

Its raw formation energy is -1792 meV per atom. For the density of states at the Fermi level, the calculation gives 0.000 states/eV per cell.